[1]
TbSmHoAg | PBE-GGA | relaxed

extended XYZ file:
```
4
Lattice="3.609 0.000 0.000 0.000 3.609 0.000 0.000 0.000 8.761" Properties=species:S:1:pos:R:3 pbc="T T T"
Tb 0.000 0.000 0.000
Sm 1.804 1.804 2.547
Ho 0.000 0.000 5.077
Ag 1.804 1.804 6.878
```

- Volume: 114.1 Å³/cell
- Relative energy among the computed polymorphs: 0.000 eV/atom
- SG: P4mm (99)
- Size of the total moment: 0.00 Bohr magnetons per cell

=====

[2]
TbSmHoAg | PBE-GGA | relaxed

extended XYZ file:
```
4
Lattice="0.000 3.826 3.826 3.826 0.000 3.826 3.826 3.826 0.000" Properties=species:S:1:pos:R:3 pbc="T T T"
Tb 0.000 0.000 0.000
Sm 3.826 3.826 3.826
Ho 5.739 5.739 5.739
Ag 1.913 1.913 1.913
```

- Volume: 112.0 Å³/cell
- Relative energy among the computed polymorphs: 0.195 eV/atom
- SG: F-43m (216)
- Size of the total moment: 0.00 Bohr magnetons per cell

=====

[3]
SmHoTcAg | PBE-GGA | relaxed

extended XYZ file:
```
4
Lattice="0.000 3.543 3.543 3.543 0.000 3.543 3.543 3.543 0.000" Properties=species:S:1:pos:R:3 pbc="T T T"
Sm 0.000 0.000 0.000
Ho 3.543 3.543 3.543
Tc 5.314 5.314 5.314
Ag 1.771 1.771 1.771
```

- Total energy: -5.7068 eV/atom
- Volume: 88.9 Å³/cell
- SG: F-43m (216)
- Size of the total moment: 0.00 Bohr magnetons per cell

=====

[4]
SmHoAg2Te4 | PBE-GGA | relaxed

extended XYZ file:
```
8
Lattice="7.438 0.000 0.000 0.000 4.439 0.000 -2.612 0.000 7.225" Properties=species:S:1:pos:R:3 pbc="T T T"
Sm 0.000 0.000 0.000
Ho -1.306 2.220 3.613
Ag 2.413 0.000 3.613
Ag 3.719 2.220 0.000
Te -0.053 0.000 5.388
Te 1.243 2.220 1.851
Te 3.583 2.220 5.375
Te 4.879 0.000 1.837
```

- Volume: 238.6 Å³/cell
- Formation energy without anion corrections: -6.7 eV per formula unit
- SG: P2/m (10)
- Size of the total moment: 0.00 Bohr magnetons per cell

=====

[5]
SmHoTm2Ag4 | PBE-GGA | relaxed

extended XYZ file:
```
8
Lattice="2.564 1.480 8.403 -2.564 1.480 8.403 0.000 -2.961 8.403" Properties=species:S:1:pos:R:3 pbc="T T T"
Sm 0.000 0.000 0.000
Ho 0.000 0.000 12.604
Tm 0.000 0.000 6.285
Tm 0.000 0.000 18.924
Ag 0.000 0.000 3.191
Ag 0.000 0.000 9.506
Ag 0.000 0.000 15.702
Ag 0.000 0.000 22.017
```

- Total energy: -4.0231 eV/atom
- Volume: 191.4 Å³/cell
- SG: R-3m (166)
- Size of the total moment: 0.00 Bohr magnetons per cell

=====

[6]
SmYHoAg | PBE-GGA | relaxed

extended XYZ file:
```
4
Lattice="3.595 0.000 0.000 0.000 3.595 0.000 0.000 0.000 8.846" Properties=species:S:1:pos:R:3 pbc="T T T"
Sm 0.000 0.000 0.000
Y 1.798 1.798 6.260
Ho 1.798 1.798 2.546
Ag 0.000 0.000 4.361
```

- Total energy: -4.7876 eV/atom
- Volume: 114.3 Å³/cell
- SG: P4mm (99)
- Size of the total moment: 0.00 Bohr magnetons per cell

=====

[7]
SmHoZnAg | PBE-GGA | relaxed

extended XYZ file:
```
4
Lattice="0.000 3.636 3.636 3.636 0.000 3.636 3.636 3.636 0.000" Properties=species:S:1:pos:R:3 pbc="T T T"
Sm 0.000 0.000 0.000
Ho 3.636 3.636 3.636
Zn 1.818 1.818 1.818
Ag 5.454 5.454 5.454
```

- Volume: 96.1 Å³/cell
- Relative energy among the computed polymorphs: 0.015 eV/atom
- SG: F-43m (216)
- Size of the total moment: 0.00 Bohr magnetons per cell

=====

[8]
SmHoZnAg | PBE-GGA | relaxed

extended XYZ file:
```
4
Lattice="3.627 0.000 0.000 0.000 3.627 0.000 0.000 0.000 7.296" Properties=species:S:1:pos:R:3 pbc="T T T"
Sm 0.000 0.000 0.000
Ho 0.000 0.000 3.762
Zn 1.814 1.814 5.462
Ag 1.814 1.814 1.999
```

- Volume: 96.0 Å³/cell
- Relative energy among the computed polymorphs: 0.000 eV/atom
- SG: P4mm (99)
- Size of the total moment: 0.00 Bohr magnetons per cell

=====

[9]
HoAgSn | PBE-GGA | relaxed

extended XYZ file:
```
6
Lattice="4.827 0.000 0.000 -2.414 4.180 0.000 0.000 0.000 7.382" Properties=species:S:1:pos:R:3 pbc="T T T"
Ho 0.000 0.000 1.680
Ho 0.000 0.000 5.702
Ag 0.000 2.787 7.263
Ag 2.414 1.393 0.119
Sn 0.000 2.787 4.162
Sn 2.414 1.393 3.220
```

- Total energy: -4.0979 eV/atom
- Volume: 149.0 Å³/cell
- SG: P-3m1 (164)
- Size of the total moment: 0.00 Bohr magnetons per cell

=====

[10]
Ho2Ag2Sn | PBE-GGA | relaxed

extended XYZ file:
```
5
Lattice="8.199 -2.101 0.000 8.199 2.101 0.000 -0.714 0.000 3.359" Properties=species:S:1:pos:R:3 pbc="T T T"
Ho 1.705 0.000 0.363
Ho 13.978 0.000 2.997
Ag 4.612 0.000 0.990
Ag 11.071 0.000 2.369
Sn 7.842 0.000 1.680
```

- Total energy: -4.1921 eV/atom
- Volume: 115.7 Å³/cell
- SG: C2/m (12)
- Size of the total moment: 0.00 Bohr magnetons per cell

=====

[11]
HoAg2Sn3 | PBE-GGA | relaxed

extended XYZ file:
```
12
Lattice="3.113 -7.810 0.000 3.113 7.810 0.000 0.000 0.000 5.931" Properties=species:S:1:pos:R:3 pbc="T T T"
Ho 3.113 5.298 4.448
Ho 3.113 -5.298 1.483
Ag 1.504 0.000 0.000
Ag 1.504 0.000 2.966
Ag 4.722 0.000 0.000
Ag 4.722 0.000 2.966
Sn 1.511 2.472 4.448
Sn 3.113 2.172 1.483
Sn 1.511 -2.472 1.483
Sn 4.715 2.472 4.448
Sn 3.113 -2.172 4.448
Sn 4.715 -2.472 1.483
```

- Total energy: -3.9185 eV/atom
- Volume: 288.4 Å³/cell
- SG: Cmcm (63)
- Size of the total moment: 0.00 Bohr magnetons per cell

=====

[12]
HoAg3Sn3 | PBE-GGA | relaxed

extended XYZ file:
```
14
Lattice="7.534 0.000 0.000 0.000 7.534 0.000 0.000 0.000 7.534" Properties=species:S:1:pos:R:3 pbc="T T T"
Ho 0.000 0.000 0.000
Ho 3.767 3.767 3.767
Ag 0.000 1.884 3.767
Ag 0.000 5.651 3.767
Ag 1.884 3.767 0.000
Ag 3.767 0.000 1.884
Ag 3.767 0.000 5.651
Ag 5.651 3.767 0.000
Sn 0.000 3.767 1.884
Sn 0.000 3.767 5.651
Sn 1.884 0.000 3.767
Sn 3.767 1.884 0.000
Sn 3.767 5.651 0.000
Sn 5.651 0.000 3.767
```

- Total energy: -3.1627 eV/atom
- Volume: 427.7 Å³/cell
- SG: Pm-3n (223)
- Size of the total moment: 0.00 Bohr magnetons per cell

=====

[13]
Ho2Ag2Sn3 | PBE-GGA | relaxed

extended XYZ file:
```
7
Lattice="5.310 -2.220 0.000 5.310 2.220 0.000 -5.120 0.000 7.733" Properties=species:S:1:pos:R:3 pbc="T T T"
Ho -0.438 0.000 2.145
Ho 5.938 0.000 5.588
Ag 2.562 0.000 0.991
Ag 2.938 0.000 6.741
Sn -1.624 0.000 5.095
Sn 5.310 0.000 0.000
Sn 7.124 0.000 2.638
```

- Total energy: -4.1564 eV/atom
- Volume: 182.3 Å³/cell
- SG: C2/m (12)
- Size of the total moment: 0.00 Bohr magnetons per cell

=====

[14]
HoAgSn | PBE-GGA | relaxed

extended XYZ file:
```
3
Lattice="-1.765 1.765 5.747 1.765 -1.765 5.747 1.765 1.765 -5.747" Properties=species:S:1:pos:R:3 pbc="T T T"
Ho 0.000 0.000 0.000
Ag 0.000 0.000 7.575
Sn 0.000 0.000 3.581
```

- Total energy: -4.1141 eV/atom
- Volume: 71.6 Å³/cell
- SG: I4mm (107)
- Size of the total moment: 0.09 Bohr magnetons per cell

=====

[15]
HoAgSn | PBE-GGA | relaxed

extended XYZ file:
```
6
Lattice="4.323 -2.489 0.000 4.323 2.489 0.000 -0.021 0.000 6.595" Properties=species:S:1:pos:R:3 pbc="T T T"
Ho 0.000 0.000 0.000
Ho 5.756 0.000 2.413
Ag 8.633 0.000 3.433
Ag 2.866 0.000 4.438
Sn 2.879 0.000 1.410
Sn 5.745 0.000 5.467
```

- Total energy: -4.2188 eV/atom
- Volume: 141.9 Å³/cell
- SG: Cm (8)
- Size of the total moment: 0.00 Bohr magnetons per cell

=====

[16]
HoAg2Sn2 | PBE-GGA | relaxed

extended XYZ file:
```
10
Lattice="2.207 -11.688 0.000 2.207 11.688 0.000 0.000 0.000 4.419" Properties=species:S:1:pos:R:3 pbc="T T T"
Ho 2.207 8.334 3.314
Ho 2.207 -8.334 1.105
Ag 2.207 10.733 1.105
Ag 2.207 0.959 1.105
Ag 2.207 -0.959 3.314
Ag 2.207 -10.733 3.314
Sn 2.207 5.855 1.105
Sn 2.207 2.866 3.314
Sn 2.207 -2.866 1.105
Sn 2.207 -5.855 3.314
```

- Total energy: -3.9941 eV/atom
- Volume: 228.0 Å³/cell
- SG: Cmcm (63)
- Size of the total moment: 0.00 Bohr magnetons per cell

=====

[17]
Ho3Ag2Sn | PBE-GGA | relaxed

extended XYZ file:
```
6
Lattice="2.580 -7.823 0.000 2.580 7.823 0.000 0.000 0.000 3.672" Properties=species:S:1:pos:R:3 pbc="T T T"
Ho 0.000 0.000 0.000
Ho 2.580 2.658 0.000
Ho 2.580 -2.658 0.000
Ag 2.580 5.149 1.836
Ag 2.580 -5.149 1.836
Sn 2.580 0.000 1.836
```

- Total energy: -4.3385 eV/atom
- Volume: 148.2 Å³/cell
- SG: Cmmm (65)
- Size of the total moment: 0.00 Bohr magnetons per cell

=====

[18]
Ho8AgSn2 | PBE-GGA | relaxed

extended XYZ file:
```
11
Lattice="9.594 -2.511 0.000 9.594 2.511 0.000 -1.644 0.000 6.523" Properties=species:S:1:pos:R:3 pbc="T T T"
Ho -0.059 0.000 1.783
Ho 2.772 0.000 5.341
Ho 5.837 0.000 3.280
Ho 7.773 0.000 0.167
Ho 9.771 0.000 6.356
Ho 11.707 0.000 3.243
Ho 14.772 0.000 1.182
Ho 17.604 0.000 4.740
Ag 8.772 0.000 3.261
Sn 3.079 0.000 1.682
Sn 14.465 0.000 4.841
```

- Total energy: -4.6136 eV/atom
- Volume: 314.3 Å³/cell
- SG: C2/m (12)
- Size of the total moment: 0.00 Bohr magnetons per cell

=====

[19]
HoAgSn | PBE-GGA | relaxed

extended XYZ file:
```
6
Lattice="4.727 0.000 0.000 -2.364 4.094 0.000 0.000 0.000 7.371" Properties=species:S:1:pos:R:3 pbc="T T T"
Ho 0.000 0.000 0.000
Ho 0.000 0.000 3.685
Ag 0.000 2.729 2.313
Ag 2.364 1.365 5.998
Sn 0.000 2.729 5.310
Sn 2.364 1.365 1.625
```

- Total energy: -4.3890 eV/atom
- Volume: 142.6 Å³/cell
- SG: P6_3mc (186)
- Size of the total moment: 0.00 Bohr magnetons per cell

=====

[20]
HoAgSn | PBE-GGA | relaxed

extended XYZ file:
```
3
Lattice="4.801 0.000 0.000 -2.401 4.158 0.000 0.000 0.000 3.510" Properties=species:S:1:pos:R:3 pbc="T T T"
Ho 0.000 0.000 0.000
Ag 0.000 2.772 1.755
Sn 2.401 1.386 1.755
```

- Total energy: -4.3212 eV/atom
- Volume: 70.1 Å³/cell
- SG: P-6m2 (187)
- Size of the total moment: 0.00 Bohr magnetons per cell